A plane-wave DFT calculation with PBE-GGA was carried out for a geometry-optimized MgRu2Se structure.

The space group is I-4m2 (No. 119) and the conventional cell measures 3.811, 3.811 and 8.382 Å, with angles of 90.00, 90.00 and 90.00 degrees. The inequivalent atoms are Mg at (0.000, 0.000, 0.000), Ru at (0.000, 0.000, 0.500), Ru at (0.000, 0.500, 0.750) and Se at (0.000, 0.500, 0.250).

As for the energy: -5.658 eV per atom. Its relative energy among the computed polymorphs is 0.86 eV per formula unit. The value obtained for the density is 8.33 Mg/m³. The calculation puts the formation energy from raw total energies at 0.250 eV/atom. As for the density of states at the Fermi level: 5.90 states/eV/f.u. The calculation puts the size of the total moment at 0.0 Bohr magnetons per cell.

=====

A plane-wave DFT calculation with PBE-GGA was carried out for a geometry-optimized GePd3Se structure.

The space group is Pm-3m (No. 221) and the conventional cell measures 4.701, 4.701 and 4.701 Å, with angles of 90.00, 90.00 and 90.00 degrees. The inequivalent atoms are Ge at (0.000, 0.000, 0.000), Pd at (0.000, 0.500, 0.500) and Se at (0.500, 0.500, 0.500).

As for the energy: -4.558 eV per atom. Its relative energy among the computed polymorphs is 2.66 eV per formula unit. The value obtained for the density is 7.53 Mg/m³. The calculation puts the formation energy from raw total energies at 0.178 eV/atom. As for the density of states at the Fermi level: 0.02 states/eV/f.u. The calculation puts the size of the total moment at 0.0 Bohr magnetons per cell.

=====

A plane-wave DFT calculation with PBE-GGA was carried out for a geometry-optimized PaSeClO4 structure.

The space group is C2/m (No. 12) and the conventional cell measures 10.771, 6.846 and 7.600 Å, with angles of 90.00, 115.46 and 90.00 degrees. The inequivalent atoms are Pa at (0.241, 0.000, 0.065), Se at (0.151, 0.500, 0.344), Cl at (0.019, 0.000, 0.231), O at (0.016, 0.500, 0.806), O at (0.158, 0.500, 0.568) and O at (0.220, 0.294, 0.136).

As for the energy: -6.901 eV per atom. The value obtained for the density is 5.37 Mg/m³. The calculation puts the formation energy from raw total energies at -1.949 eV/atom. The calculation puts the size of the total moment at 0.0 Bohr magnetons per cell.

=====

A plane-wave DFT calculation with PBE-GGA was carried out for a geometry-optimized PmCuAgGe structure.

The space group is F-43m (No. 216) and the conventional cell measures 6.798, 6.798 and 6.798 Å, with angles of 90.00, 90.00 and 90.00 degrees. The inequivalent atoms are Pm at (0.000, 0.000, 0.000), Cu at (0.250, 0.250, 0.750), Ag at (0.000, 0.000, 0.500) and Ge at (0.250, 0.250, 0.250).

As for the energy: -4.344 eV per atom. The value obtained for the density is 8.23 Mg/m³. As for the density of states at the Fermi level: 2.07 states/eV/f.u. The energy of formation from the pure elements comes out at -0.2653 eV/atom. The calculation puts the size of the total moment at 0.0 Bohr magnetons per cell.

=====

A plane-wave DFT calculation with PBE-GGA was carried out for a geometry-optimized Mg2SbTe structure.

The space group is Immm (No. 71) and the conventional cell measures 4.300, 5.933 and 8.203 Å, with angles of 90.00, 90.00 and 90.00 degrees. The inequivalent atoms are Mg at (0.000, 0.000, 0.246), Sb at (0.000, 0.500, 0.500) and Te at (0.000, 0.500, 0.000).

As for the energy: -2.814 eV per atom. Its relative energy among the computed polymorphs is 1.07 eV per formula unit. The value obtained for the density is 4.73 Mg/m³. The calculation puts the formation energy from raw total energies at -0.200 eV/atom. As for the density of states at the Fermi level: 2.03 states/eV/f.u. The calculation puts the size of the total moment at 0.0 Bohr magnetons per cell.

=====

A plane-wave DFT calculation with PBE-GGA was carried out for a geometry-optimized Sc3ZnSe structure.

The space group is Pm-3m (No. 221) and the conventional cell measures 4.965, 4.965 and 4.965 Å, with angles of 90.00, 90.00 and 90.00 degrees. The inequivalent atoms are Sc at (0.000, 0.000, 0.500), Zn at (0.500, 0.500, 0.500) and Se at (0.000, 0.000, 0.000).

As for the energy: -5.123 eV per atom. Its relative energy among the computed polymorphs is 0.00 eV per formula unit. The value obtained for the density is 3.79 Mg/m³. The calculation puts the formation energy from raw total energies at -0.373 eV/atom. As for the density of states at the Fermi level: 2.81 states/eV/f.u. The calculation puts the size of the total moment at 0.0 Bohr magnetons per cell.

=====

A plane-wave DFT calculation with PBE-GGA was carried out for a geometry-optimized LiScIr2 structure.

The space group is Imm2 (No. 44) and the conventional cell measures 3.064, 4.373 and 9.134 Å, with angles of 90.00, 90.00 and 90.00 degrees. The inequivalent atoms are Li at (0.000, 0.000, 0.000), Sc at (0.000, 0.500, 0.771), Ir at (0.000, 0.000, 0.524) and Ir at (0.000, 0.500, 0.261).

As for the energy: -6.884 eV per atom. The value obtained for the density is 11.84 Mg/m³. As for the density of states at the Fermi level: 2.34 states/eV/f.u. The energy of formation from the pure elements comes out at -0.3922 eV/atom. The calculation puts the size of the total moment at 0.0 Bohr magnetons per cell.

=====

A plane-wave DFT calculation with PBE-GGA was carried out for a geometry-optimized Li5Pm12Ho3 structure.

The space group is Ia-3d (No. 230) and the conventional cell measures 17.977, 17.977 and 17.977 Å, with angles of 90.00, 90.00 and 90.00 degrees. The inequivalent atoms are Li at (0.000, 0.000, 0.000), Li at (0.000, 0.250, 0.375), Pm at (0.022, 0.073, 0.644) and Ho at (0.000, 0.250, 0.125).

As for the energy: -3.282 eV per atom. The value obtained for the density is 5.19 Mg/m³. As for the density of states at the Fermi level: 35.07 states/eV/f.u. The energy of formation from the pure elements comes out at 0.7334 eV/atom. The calculation puts the size of the total moment at 0.3 Bohr magnetons per cell.

=====

A plane-wave DFT calculation with PBE-GGA was carried out for a geometry-optimized LaCeBr4 structure.

The space group is C2/c (No. 15) and the conventional cell measures 8.304, 17.409 and 7.282 Å, with angles of 90.00, 124.38 and 90.00 degrees. The inequivalent atoms are La at (0.000, 0.061, 0.250), Ce at (0.000, 0.441, 0.750), Br at (0.246, 0.321, 0.751) and Br at (0.247, 0.428, 0.247).

As for the energy: -4.558 eV per atom. Its relative energy among the computed polymorphs is 0.24 eV per formula unit. The value obtained for the density is 4.58 Mg/m³. The calculation puts the formation energy from raw total energies at -1.632 eV/atom. As for the density of states at the Fermi level: 8.05 states/eV/f.u. The calculation puts the size of the total moment at 7.4 Bohr magnetons per cell.

=====

A plane-wave DFT calculation with PBE-GGA was carried out for a geometry-optimized ReTcPb2 structure.

The space group is I-4m2 (No. 119) and the conventional cell measures 4.280, 4.280 and 8.603 Å, with angles of 90.00, 90.00 and 90.00 degrees. The inequivalent atoms are Re at (0.000, 0.000, 0.000), Tc at (0.000, 0.500, 0.750), Pb at (0.000, 0.000, 0.500) and Pb at (0.000, 0.500, 0.250).

As for the energy: -6.404 eV per atom. Its relative energy among the computed polymorphs is 3.31 eV per formula unit. The value obtained for the density is 14.72 Mg/m³. As for the density of states at the Fermi level: 4.60 states/eV/f.u. The energy of formation from the pure elements comes out at 1.1532 eV/atom. The calculation puts the size of the total moment at 0.0 Bohr magnetons per cell.

=====

A plane-wave DFT calculation with PBE-GGA was carried out for a geometry-optimized Mg4TaCl structure.

The space group is F-43m (No. 216) and the conventional cell measures 8.091, 8.091 and 8.091 Å, with angles of 90.00, 90.00 and 90.00 degrees. The inequivalent atoms are Mg at (0.123, 0.123, 0.123), Ta at (0.250, 0.250, 0.750) and Cl at (0.000, 0.000, 0.500).

As for the energy: -2.836 eV per atom. The value obtained for the density is 3.93 Mg/m³. The calculation puts the formation energy from raw total energies at 0.510 eV/atom. As for the density of states at the Fermi level: 2.26 states/eV/f.u. The calculation puts the size of the total moment at 8.0 Bohr magnetons per cell.

=====

A plane-wave DFT calculation with PBE-GGA was carried out for a geometry-optimized Dy5MgSc2 structure.

The space group is Cmcm (No. 63) and the conventional cell measures 5.047, 11.108 and 16.698 Å, with angles of 90.00, 90.00 and 90.00 degrees. The inequivalent atoms are Dy at (0.000, 0.018, 0.250), Dy at (0.000, 0.148, 0.037), Dy at (0.000, 0.448, 0.096), Mg at (0.000, 0.298, 0.250) and Sc at (0.000, 0.258, 0.653).

As for the energy: -4.567 eV per atom. The value obtained for the density is 6.58 Mg/m³. As for the density of states at the Fermi level: 13.33 states/eV/f.u. The energy of formation from the pure elements comes out at 0.0919 eV/atom. The calculation puts the size of the total moment at 0.0 Bohr magnetons per cell.